Entry from the Alexandria database: CsCoO3 after structural relaxation (PBE with a Hubbard U).

CIF file:
```
data_CsCoO3
_chemical_formula_sum 'Cs1 Co1 O3'
_cell_length_a 4.396
_cell_length_b 4.396
_cell_length_c 4.396
_cell_angle_alpha 90.00
_cell_angle_beta 90.00
_cell_angle_gamma 90.00
_symmetry_space_group_name_H-M 'P m -3 m'
_symmetry_Int_Tables_number 221
_symmetry_space_group_name_Hall '-P 4 2 3'
loop_
_atom_site_label
_atom_site_type_symbol
_atom_site_fract_x
_atom_site_fract_y
_atom_site_fract_z
Cs1 Cs 0.000 0.000 0.000
Co1 Co 0.500 0.500 0.500
O1 O 0.000 0.000 0.500
```

Summary:
Calculated volume ... 16.99 Å³/atom
DOS(E_F) ... 3.4 states/eV/f.u.
Raw total energy ... -15.67 eV/f.u.